Record 1
Entry from Alexandria via LeMat-Bulk: an optimized crystal structure of KTcAsSe2 (PBE).

Lattice parameters (Å, degrees): 5.1327 5.1327 4.7823 90.00 90.00 90.00
Last column: nearest neighbours and their distance in Å.
Element x y z (fractional)
K 0.0000 0.0000 0.0000  8 Se 3.51, 4 As 3.63
Tc 0.5000 0.5000 0.5000  2 As 2.39, 4 Se 2.57
As 0.5000 0.5000 0.0000  2 Tc 2.39
Se 0.0000 0.5000 0.5000  2 Tc 2.57
Se 0.5000 0.0000 0.5000  2 Tc 2.57

Calculated values
* calculated density: 4.9 Mg/m³
* polymorph energy (0 for the lowest one): 0 meV/atom
* energy relative to the elements, uncorrected: -0.089 eV/atom

---

Record 2
Entry from Alexandria via LeMat-Bulk: an optimized crystal structure of NaZrAg3 (PBE).

Lattice parameters (Å, degrees): 5.3936 5.3936 5.3936 90.00 90.00 90.00
Last column: nearest neighbours and their distance in Å.
Element x y z (fractional)
Na 0.0000 0.0000 0.0000  12 Ag 3.81
Zr 0.5000 0.5000 0.5000  6 Ag 2.70
Ag 0.0000 0.5000 0.5000  2 Zr 2.70
Ag 0.5000 0.0000 0.5000  2 Zr 2.70
Ag 0.5000 0.5000 0.0000  2 Zr 2.70

Calculated values
* calculated density: 4.6 Mg/m³
* polymorph energy (0 for the lowest one): 0 meV/atom
* ΔH_f (0 K): 4.0 eV per formula unit

---

Record 3
Entry from Alexandria via LeMat-Bulk: an optimized crystal structure of Sm8Si3Te3S (PBE).

Lattice parameters (Å, degrees): 8.6710 8.6710 8.6710 58.58 58.58 58.58
Last column: nearest neighbours and their distance in Å.
Element x y z (fractional)
Sm 0.2378 0.7411 0.7411  2 Si 2.90, 1 S 2.92, 2 Te 3.17
Sm 0.2409 0.2409 0.2409  3 Si 2.92, 3 Te 3.15
Sm 0.2589 0.2589 0.7622  2 Si 2.90, 1 S 2.92, 2 Te 3.17
Sm 0.2589 0.7622 0.2589  2 Si 2.90, 1 S 2.92, 2 Te 3.17
Sm 0.7411 0.2378 0.7411  2 Si 2.90, 1 S 2.92, 2 Te 3.17
Sm 0.7411 0.7411 0.2378  2 Si 2.90, 1 S 2.92, 2 Te 3.17
Sm 0.7591 0.7591 0.7591  3 Si 2.92, 3 Te 3.15
Sm 0.7622 0.2589 0.2589  2 Si 2.90, 1 S 2.92, 2 Te 3.17
Si 0.0000 0.0000 0.5000  6 Sm 2.90-2.92
Si 0.0000 0.5000 0.0000  6 Sm 2.90-2.92
Si 0.5000 0.0000 0.0000  6 Sm 2.90-2.92
Te 0.0000 0.5000 0.5000  6 Sm 3.15-3.17
Te 0.5000 0.0000 0.5000  6 Sm 3.15-3.17
Te 0.5000 0.5000 0.0000  6 Sm 3.15-3.17
S 0.5000 0.5000 0.5000  6 Sm 2.92

Calculated values
* calculated density: 6.3 Mg/m³
* energy relative to the elements, uncorrected: -1.126 eV/atom

---

Record 4
Entry from Alexandria via LeMat-Bulk: an optimized crystal structure of CuAgB2F8 (PBE).

Lattice parameters (Å, degrees): 5.2067 5.2067 7.1796 90.00 90.00 120.00
Last column: nearest neighbours and their distance in Å.
Element x y z (fractional)
Cu 0.0000 0.0000 0.0000  6 F 2.27
Ag 0.0000 0.0000 0.5000  6 F 2.63
B 0.3333 0.6667 0.7175  4 F 1.40-1.42
B 0.6667 0.3333 0.2825  4 F 1.40-1.42
F 0.1845 0.3690 0.7839  1 B 1.42
F 0.1845 0.8155 0.7839  1 B 1.42
F 0.3333 0.6667 0.5223  1 B 1.40
F 0.3690 0.1845 0.2161  1 B 1.42
F 0.6310 0.8155 0.7839  1 B 1.42
F 0.6667 0.3333 0.4777  1 B 1.40
F 0.8155 0.1845 0.2161  1 B 1.42
F 0.8155 0.6310 0.2161  1 B 1.42

Calculated values
* calculated density: 3.4 Mg/m³
* energy relative to the elements, uncorrected: -2.228 eV/atom

---

Record 5
Entry from Alexandria via LeMat-Bulk: an optimized crystal structure of BPCl3 (PBE).

Lattice parameters (Å, degrees): 4.3993 4.3993 4.3993 90.00 90.00 90.00
Last column: nearest neighbours and their distance in Å.
Element x y z (fractional)
B 0.0000 0.0000 0.0000  6 Cl 2.20
P 0.5000 0.5000 0.5000  12 Cl 3.11
Cl 0.0000 0.0000 0.5000  2 B 2.20
Cl 0.0000 0.5000 0.0000  2 B 2.20
Cl 0.5000 0.0000 0.0000  2 B 2.20

Calculated values
* calculated density: 2.9 Mg/m³
* polymorph energy (0 for the lowest one): 20 meV/atom
* energy relative to the elements, uncorrected: 0.827 eV/atom

---

Record 6
Entry from Alexandria via LeMat-Bulk: an optimized crystal structure of ZrPa2Al (PBE).

Lattice parameters (Å, degrees): 4.3077 4.3077 4.8593 90.00 90.00 90.00
Last column: nearest neighbours and their distance in Å.
Element x y z (fractional)
Zr 0.0000 0.0000 0.0000  4 Al 3.05, 8 Pa 3.25
Pa 0.0000 0.5000 0.5000  4 Pa 3.05, 4 Zr 3.25, 4 Al 3.25
Pa 0.5000 0.0000 0.5000  4 Pa 3.05, 4 Zr 3.25, 4 Al 3.25
Al 0.5000 0.5000 0.0000  4 Zr 3.05, 8 Pa 3.25

Calculated values
* calculated density: 10.7 Mg/m³
* polymorph energy (0 for the lowest one): 0 meV/atom
* ΔH_f (0 K): -0.6 eV per formula unit

---

Record 7
Entry from Alexandria via LeMat-Bulk: an optimized crystal structure of TaTc2HOs (PBE).

Lattice parameters (Å, degrees): 3.9864 3.9864 3.9877 90.00 90.00 90.00
Last column: nearest neighbours and their distance in Å.
Element x y z (fractional)
Ta 0.0000 0.0000 0.0000  4 Os 2.82, 8 Tc 2.82
Tc 0.0000 0.5000 0.5000  2 H 1.99
Tc 0.5000 0.0000 0.5000  2 H 1.99
H 0.5000 0.5000 0.5000  4 Tc 1.99, 2 Os 1.99
Os 0.5000 0.5000 0.0000  2 H 1.99

Calculated values
* calculated density: 14.9 Mg/m³
* polymorph energy (0 for the lowest one): 3 meV/atom

---

Record 8
Entry from Alexandria via LeMat-Bulk: an optimized crystal structure of PrNd5Zn4 (PBE).

Lattice parameters (Å, degrees): 3.6893 3.6893 19.9887 90.00 90.00 90.00
Last column: nearest neighbours and their distance in Å.
Element x y z (fractional)
Pr 0.0000 0.0000 0.0000  4 Pr 3.69, 8 Nd 3.72
Nd 0.5000 0.5000 0.1329  4 Zn 3.18
Nd 0.5000 0.5000 0.3167  8 Zn 3.18-3.21
Nd 0.5000 0.5000 0.5000  8 Zn 3.20
Nd 0.5000 0.5000 0.6833  8 Zn 3.18-3.21
Nd 0.5000 0.5000 0.8671  4 Zn 3.18
Zn 0.0000 0.0000 0.2234  8 Nd 3.18-3.21
Zn 0.0000 0.0000 0.4077  8 Nd 3.18-3.20
Zn 0.0000 0.0000 0.5923  8 Nd 3.18-3.20
Zn 0.0000 0.0000 0.7766  8 Nd 3.18-3.21

Calculated values
* calculated density: 6.9 Mg/m³
* ΔH_f (0 K): -2.5 eV per formula unit

---

Record 9
Entry from Alexandria via LeMat-Bulk: an optimized crystal structure of Nd2DyGa6 (PBE).

Lattice parameters (Å, degrees): 7.9891 7.9891 7.9891 148.08 127.12 63.11
Last column: nearest neighbours and their distance in Å.
Element x y z (fractional)
Nd 0.1302 0.1302 0.0000  10 Ga 2.94-3.19
Nd 0.8698 0.8698 0.0000  10 Ga 2.94-3.19
Dy 0.5000 0.0000 0.5000  4 Ga 3.10
Ga 0.1361 0.3229 0.8132  2 Ga 2.56-2.66
Ga 0.1917 0.5000 0.6917  3 Ga 2.56-2.73
Ga 0.4903 0.6771 0.8132  2 Ga 2.56-2.66
Ga 0.5097 0.3229 0.1868  2 Ga 2.56-2.66
Ga 0.8083 0.5000 0.3083  3 Ga 2.56-2.73
Ga 0.8639 0.6771 0.1868  2 Ga 2.56-2.66

Calculated values
* calculated density: 6.8 Mg/m³
* polymorph energy (0 for the lowest one): 240 meV/atom
* ΔH_f (0 K): -3.8 eV per formula unit

---

Record 10
Entry from Alexandria via LeMat-Bulk: an optimized crystal structure of LaCr3Hg (PBE).

Lattice parameters (Å, degrees): 4.8834 4.8834 4.8834 90.00 90.00 90.00
Last column: nearest neighbours and their distance in Å.
Element x y z (fractional)
La 0.0000 0.0000 0.0000  12 Cr 3.45
Cr 0.0000 0.5000 0.5000  2 Hg 2.44
Cr 0.5000 0.0000 0.5000  2 Hg 2.44
Cr 0.5000 0.5000 0.0000  2 Hg 2.44
Hg 0.5000 0.5000 0.5000  6 Cr 2.44

Calculated values
* calculated density: 7.1 Mg/m³
* polymorph energy (0 for the lowest one): 0 meV/atom
* ΔH_f (0 K): 9.4 eV per formula unit

---

Record 11
Entry from Alexandria via LeMat-Bulk: an optimized crystal structure of KRu2Br (PBE).

Lattice parameters (Å, degrees): 2.9121 4.8185 6.7350 90.00 90.00 90.00
Last column: nearest neighbours and their distance in Å.
Element x y z (fractional)
K 0.0000 0.0000 0.0000  4 Br 2.82, 2 K 2.91
Ru 0.0000 0.5000 0.5000  6 Ru 2.82-2.91
Ru 0.5000 0.0000 0.5000  6 Ru 2.82-2.91
Br 0.5000 0.5000 0.0000  4 K 2.82, 2 Br 2.91

Calculated values
* calculated density: 5.6 Mg/m³
* polymorph energy (0 for the lowest one): 627 meV/atom
* energy relative to the elements, uncorrected: 0.941 eV/atom

---

Record 12
Entry from Alexandria via LeMat-Bulk: an optimized crystal structure of U2H2Se3 (PBE).

Lattice parameters (Å, degrees): 5.3155 7.1826 12.4163 90.00 90.00 90.00
Last column: nearest neighbours and their distance in Å.
Element x y z (fractional)
U 0.1230 0.2500 0.0000  4 H 2.30-2.31
U 0.1230 0.2500 0.5000  4 H 2.30-2.31
U 0.3501 0.5974 0.2500  2 H 2.41
U 0.3501 0.9026 0.7500  2 H 2.41
U 0.6499 0.0974 0.2500  2 H 2.41
U 0.6499 0.4026 0.7500  2 H 2.41
U 0.8770 0.7500 0.0000  4 H 2.30-2.31
U 0.8770 0.7500 0.5000  4 H 2.30-2.31
H 0.1128 0.5313 0.0895  3 U 2.30-2.41, 1 H 2.57
H 0.1128 0.5313 0.4105  3 U 2.30-2.41, 1 H 2.57
H 0.1128 0.9687 0.5895  3 U 2.30-2.41, 1 H 2.57
H 0.1128 0.9687 0.9105  3 U 2.30-2.41, 1 H 2.57
H 0.8872 0.0313 0.0895  3 U 2.30-2.41, 1 H 2.57
H 0.8872 0.0313 0.4105  3 U 2.30-2.41, 1 H 2.57
H 0.8872 0.4687 0.5895  3 U 2.30-2.41, 1 H 2.57
H 0.8872 0.4687 0.9105  3 U 2.30-2.41, 1 H 2.57
Se 0.1381 0.2399 0.2500  5 U 2.79-3.11, 4 H 2.83-2.89
Se 0.1381 0.2601 0.7500  5 U 2.79-3.11, 4 H 2.83-2.89
Se 0.3722 0.6093 0.5975  4 H 2.76-2.93, 3 U 2.82-3.07
Se 0.3722 0.6093 0.9025  4 H 2.76-2.93, 3 U 2.82-3.07
Se 0.3722 0.8907 0.0975  4 H 2.76-2.93, 3 U 2.82-3.07
Se 0.3722 0.8907 0.4025  4 H 2.76-2.93, 3 U 2.82-3.07
Se 0.6278 0.1093 0.5975  4 H 2.76-2.93, 3 U 2.82-3.07
Se 0.6278 0.1093 0.9025  4 H 2.76-2.93, 3 U 2.82-3.07
Se 0.6278 0.3907 0.0975  4 H 2.76-2.93, 3 U 2.82-3.07
Se 0.6278 0.3907 0.4025  4 H 2.76-2.93, 3 U 2.82-3.07
Se 0.8619 0.7399 0.2500  5 U 2.79-3.11, 4 H 2.83-2.89
Se 0.8619 0.7601 0.7500  5 U 2.79-3.11, 4 H 2.83-2.89

Calculated values
* calculated density: 10.0 Mg/m³
* energy: -6.5278 eV/atom

---

Record 13
Entry from Alexandria via LeMat-Bulk: an optimized crystal structure of Ta2MoCl (PBE).

Lattice parameters (Å, degrees): 2.9247 2.9247 9.9533 90.00 90.00 112.69
Last column: nearest neighbours and their distance in Å.
Element x y z (fractional)
Ta 0.0000 0.0000 0.0000  2 Cl 2.53
Ta 0.5000 0.5000 0.2369  2 Mo 2.63, 6 Ta 2.86-2.92
Mo 0.0000 0.0000 0.4446  2 Ta 2.63, 4 Mo 2.92
Cl 0.5000 0.5000 0.8045  2 Ta 2.53

Calculated values
* calculated density: 10.4 Mg/m³
* polymorph energy (0 for the lowest one): 1 meV/atom
* energy relative to the elements, uncorrected: 0.080 eV/atom